Entry 1:
Density functional theory data (PBE) for an optimized crystal structure of NpInSnO6.

```
NpInSnO6
1.0
-1.979 -5.099 -0.356
4.067 1.123 3.499
-6.222 1.953 6.604
O In Sn Np
12 2 2 2
Cartesian
-1.563 -3.571 4.462
-2.570 1.548 5.285
-1.674 -0.591 3.476
-0.499 0.699 7.488
-1.400 -1.426 0.745
-2.459 -1.432 6.271
-4.732 0.440 6.812
-2.695 2.424 8.145
-2.733 -0.597 9.002
-1.439 -4.447 1.602
-3.635 -2.722 2.259
0.598 -2.463 2.935
-4.630 -1.560 5.882
0.496 -0.463 3.865
-3.111 0.976 3.302
0.000 0.000 0.000
-1.519 -2.537 2.580
-2.615 0.514 7.167
```

Values from the calculation:
M_tot   2.0 μB per formula unit
Space group   P-31c
Formation energy (no corrections)   -45.38 kcal/mol of atoms
E_tot   -7.46 eV/atom


Entry 2:
Density functional theory data (PBE) for an optimized crystal structure of La2Cd9Ag6.

```
La2Cd9Ag6
1.0
5.847 0.000 0.000
-2.924 5.064 0.000
0.000 0.000 14.251
Ag La Cd
6 2 9
Cartesian
0.000 3.376 0.000
2.924 1.688 9.540
0.000 3.376 9.540
2.924 1.688 4.711
2.924 1.688 0.000
0.000 3.376 4.711
0.000 0.000 9.326
0.000 0.000 4.925
1.462 2.532 11.910
2.924 0.000 11.910
2.924 0.000 7.125
1.462 2.532 7.125
-1.462 2.532 2.341
1.462 2.532 2.341
-1.462 2.532 7.125
2.924 0.000 2.341
-1.462 2.532 11.910
```

Values from the calculation:
M_tot   0.0 μB per formula unit
Space group   P6/mmm
Formation enthalpy at 0 K   -1.79 eV per formula unit
E_tot   -2.18 eV/atom


Entry 3:
Density functional theory data (PBE) for an optimized crystal structure of KZnP2.

```
KZnP2
1.0
5.125 -0.263 0.000
1.504 4.906 0.000
-3.314 -2.321 3.155
Zn P K
1 2 1
Cartesian
0.752 2.453 1.578
3.314 2.321 0.000
0.000 0.000 0.000
2.562 -0.132 1.578
```

Values from the calculation:
M_tot   0.0 μB per formula unit
Space group   I4/mmm
Formation enthalpy at 0 K   2.01 eV per formula unit
E_tot   -2.80 eV/atom


Entry 4:
Density functional theory data (PBE) for an optimized crystal structure of Sr2PmSb3Pt4.

```
Sr2PmSb3Pt4
1.0
-0.655 2.031 4.130
-1.699 -3.984 1.689
10.528 -3.130 3.208
Pm Sb Pt Sr
1 3 4 2
Cartesian
4.087 -2.541 4.514
5.264 -1.565 1.604
0.438 -2.375 1.237
8.913 -1.732 4.880
6.496 -1.013 4.144
2.855 -3.093 1.974
0.000 0.000 0.000
-1.177 -0.976 2.910
7.328 -4.423 3.336
2.024 0.316 2.781
```

Values from the calculation:
M_tot   0.0 μB per formula unit
Space group   P-4m2
Formation energy (no corrections)   -20.17 kcal/mol of atoms
E_tot   -5.34 eV/atom


Entry 5:
Density functional theory data (PBE) for an optimized crystal structure of KRh.

```
KRh
1.0
-1.739 -0.566 -2.302
3.209 -0.284 -2.354
0.735 -9.550 2.153
K Rh
2 2
Cartesian
0.576 -2.283 -0.631
1.629 -8.116 -1.873
0.756 -5.356 -0.014
1.448 -5.043 -2.490
```

Values from the calculation:
M_tot   0.0 μB per formula unit
Space group   P2_1/m
Energy relative to the lowest polymorph listed for this composition   0.000 eV per atom
Formation enthalpy at 0 K   0.74 eV per formula unit
E_tot   -3.86 eV/atom


Entry 6:
Density functional theory data (PBE) for an optimized crystal structure of TiMnPb.

```
TiMnPb
1.0
6.203 0.000 -0.092
0.000 3.355 0.000
-3.997 0.000 10.882
Mn Ti Pb
4 4 4
Cartesian
-0.699 0.000 5.440
2.905 0.000 5.350
0.906 1.677 10.791
1.300 1.677 -0.001
4.282 1.677 3.808
-0.078 0.000 1.541
-2.077 1.677 6.983
2.284 0.000 9.249
1.110 1.677 7.020
-0.903 0.000 9.212
1.096 1.677 3.771
3.109 0.000 1.578
```

Values from the calculation:
M_tot   1.8 μB per formula unit
Space group   C2/m
Formation enthalpy at 0 K   0.36 eV per formula unit
E_tot   -6.80 eV/atom